Entry 1:
The following is a DFT calculation (PBE-GGA) of an optimized crystal structure of KHfSb.

Lattice parameters (Å, degrees): 7.2234 7.2234 7.2234 90.00 90.00 90.00
Last column: nearest neighbours and their distance in Å.
Space group F-43m (No. 216)
Symmetry-distinct sites (fractional):
K1 0.0000 0.0000 0.0000 (multiplicity 4)  4 Sb 3.13
Hf1 0.0000 0.0000 0.5000 (multiplicity 4)  4 Sb 3.13
Sb1 0.2500 0.2500 0.7500 (multiplicity 4)  4 Hf 3.13, 4 K 3.13

uncorrected energy: -54.540 eV for the cell shown
magnetic moment: 4.66 μB/cell
energy above the most stable polymorph in this dataset: 0.000 eV per atom

---

Entry 2:
The following is a DFT calculation (PBE-GGA) of an optimized crystal structure of NiAgAsPd.

Lattice parameters (Å, degrees): 6.2340 6.2340 6.2340 90.00 90.00 90.00
Last column: nearest neighbours and their distance in Å.
Space group F-43m (No. 216)
Symmetry-distinct sites (fractional):
Ni1 0.0000 0.0000 0.0000 (multiplicity 4)  4 Ag 2.70, 4 As 2.70
Ag1 0.2500 0.2500 0.2500 (multiplicity 4)  4 Pd 2.70, 4 Ni 2.70
As1 0.2500 0.2500 0.7500 (multiplicity 4)  4 Ni 2.70, 4 Pd 2.70
Pd1 0.0000 0.0000 0.5000 (multiplicity 4)  4 As 2.70, 4 Ag 2.70

uncorrected energy: -73.056 eV for the cell shown
magnetic moment: 0.01 μB/cell

---

Entry 3:
The following is a DFT calculation (PBE-GGA) of an optimized crystal structure of TmAuSeO.

Lattice parameters (Å, degrees): 5.5325 9.5661 5.5625 90.00 90.00 90.00
Last column: nearest neighbours and their distance in Å.
Space group Pcca (No. 54)
Symmetry-distinct sites (fractional):
Tm1 0.0000 0.1119 0.2500 (multiplicity 4)  4 O 2.23-2.24
Au1 0.2500 0.5000 0.2115 (multiplicity 4)  2 Se 2.56, 4 Au 2.78-2.80
Se1 0.0000 0.2754 0.7500 (multiplicity 4)  2 Au 2.56
O1 0.2500 0.0000 0.0008 (multiplicity 4)  4 Tm 2.23-2.24

uncorrected energy: -95.191 eV for the cell shown
magnetic moment: 0.00 μB/cell
energy above the most stable polymorph in this dataset: 0.026 eV per atom